Entry 1:
Pm2Sm3Ho | GGA-PBE | optimized geometry

Computed properties:
energy relative to the elements: 0.07 eV per atom
offset from the most stable computed form: 0.38 eV/f.u.
total energy: -55.68 eV/cell
DOS at the Fermi energy: 1.443 states/eV/atom

CIF file:
```
data_Pm2Sm3Ho
_cell_length_a 9.7519
_cell_length_b 3.5795
_cell_length_c 11.6699
_cell_angle_alpha 90.00
_cell_angle_beta 93.48
_cell_angle_gamma 90.00
_space_group_name_H-M_alt 'P 1'
_space_group_IT_number 1
loop_
_space_group_symop_operation_xyz
'x,y,z'
loop_
_atom_site_label
_atom_site_type_symbol
_atom_site_fract_x
_atom_site_fract_y
_atom_site_fract_z
_atom_site_occupancy
Pm1 Pm 0.0583 0.2500 0.3551 1
Pm2 Pm 0.4171 0.7500 0.8787 1
Pm3 Pm 0.5829 0.2500 0.1213 1
Pm4 Pm 0.9417 0.7500 0.6449 1
Sm1 Sm 0.0993 0.2500 0.8993 1
Sm2 Sm 0.2643 0.2500 0.6401 1
Sm3 Sm 0.4226 0.2500 0.3804 1
Sm4 Sm 0.5774 0.7500 0.6196 1
Sm5 Sm 0.7357 0.7500 0.3599 1
Sm6 Sm 0.9007 0.7500 0.1007 1
Ho1 Ho 0.2578 0.7500 0.1445 1
Ho2 Ho 0.7422 0.2500 0.8555 1
```

Entry 2:
Ta2Bi2O7 | GGA-PBE | optimized geometry

Computed properties:
raw formation energy: -2.004 eV per atom
offset from the most stable computed form: 0.00 eV/f.u.
total energy: -88.22 eV/cell

CIF file:
```
data_Ta2Bi2O7
_cell_length_a 5.2915
_cell_length_b 5.2915
_cell_length_c 6.0015
_cell_angle_alpha 90.88
_cell_angle_beta 90.88
_cell_angle_gamma 96.11
_space_group_name_H-M_alt 'P 1'
_space_group_IT_number 1
loop_
_space_group_symop_operation_xyz
'x,y,z'
loop_
_atom_site_label
_atom_site_type_symbol
_atom_site_fract_x
_atom_site_fract_y
_atom_site_fract_z
_atom_site_occupancy
Ta1 Ta 0.2239 0.2239 0.0626 1
Ta2 Ta 0.7761 0.7761 0.9374 1
Bi1 Bi 0.2794 0.7206 0.5000 1
Bi2 Bi 0.7206 0.2794 0.5000 1
O1 O 0.0340 0.4403 0.2374 1
O2 O 0.0632 0.0632 0.8069 1
O3 O 0.4403 0.0340 0.2374 1
O4 O 0.5000 0.5000 0.0000 1
O5 O 0.5597 0.9660 0.7626 1
O6 O 0.9368 0.9368 0.1931 1
O7 O 0.9660 0.5597 0.7626 1
```